Computed, not measured: an optimized crystal structure of FeSi3N at the PBE level of DFT.

Output
Density of states at the Fermi level   0.900 states/eV per atom
E_form (uncorrected)   0.64 eV/atom

Unit cell a=3.860 b=3.860 c=3.860 alpha=90.00 beta=90.00 gamma=90.00
Space group Pm-3m (No. 221)
One atom of each set of equivalent atoms:
Fe 0.000 0.000 0.000 x1
Si 0.000 0.500 0.500 x3
N 0.500 0.500 0.500 x1